1.
The following is a PBE calculation of Rb2GeTe4Pd after structural relaxation, from the Alexandria database.

Unit cell a=7.609 b=7.366 c=13.116 alpha=81.38 beta=73.14 gamma=58.90
Element x y z (fractional)
Rb 0.190 0.000 0.619
Rb 0.810 0.000 0.381
Rb 0.560 0.500 0.881
Rb 0.940 0.500 0.119
Ge 0.250 0.500 0.500
Ge 0.500 0.000 0.000
Te 0.260 0.854 0.128
Te 0.242 0.146 0.872
Te 0.886 0.854 0.872
Te 0.612 0.146 0.128
Te 0.490 0.646 0.372
Te 0.508 0.354 0.628
Te 0.864 0.646 0.628
Te 0.138 0.354 0.372
Pd 0.750 0.500 0.500
Pd 0.000 0.000 0.000

Results
Formation energy without anion corrections ... -11.2 kcal/mol of atoms

***

2.
The following is a PBE calculation of Ca2Cd2Cu15 after structural relaxation, from the Alexandria database.

Unit cell a=6.613 b=6.613 c=6.613 alpha=83.55 beta=83.55 gamma=83.55
Element x y z (fractional)
Ca 0.352 0.352 0.352
Ca 0.648 0.648 0.648
Cd 0.107 0.107 0.107
Cd 0.893 0.893 0.893
Cu 0.500 0.000 0.000
Cu 0.000 0.000 0.500
Cu 0.000 0.500 0.000
Cu 0.000 0.696 0.304
Cu 0.696 0.304 0.000
Cu 0.304 0.000 0.696
Cu 0.304 0.696 0.000
Cu 0.696 0.000 0.304
Cu 0.000 0.304 0.696
Cu 0.160 0.653 0.653
Cu 0.653 0.653 0.160
Cu 0.653 0.160 0.653
Cu 0.840 0.347 0.347
Cu 0.347 0.347 0.840
Cu 0.347 0.840 0.347

Results
Energy relative to the elements ... -0.058 eV/atom

***

3.
The following is a PBE calculation of TiZnO2 after structural relaxation, from the Alexandria database.

Unit cell a=7.513 b=7.513 c=11.287 alpha=58.95 beta=58.95 gamma=22.40
Element x y z (fractional)
Ti 0.114 0.114 0.279
Ti 0.352 0.352 0.461
Ti 0.648 0.648 0.539
Ti 0.886 0.886 0.721
Zn 0.525 0.525 0.100
Zn 0.475 0.475 0.900
Zn 0.141 0.141 0.855
Zn 0.859 0.859 0.145
O 0.492 0.492 0.691
O 0.119 0.119 0.439
O 0.881 0.881 0.561
O 0.508 0.508 0.309
O 0.711 0.711 0.182
O 0.807 0.807 0.380
O 0.289 0.289 0.818
O 0.193 0.193 0.620

Results
Formation energy without anion corrections ... -48.2 kcal/mol of atoms

***

4.
The following is a PBE calculation of Pr3DyTm6Th2 after structural relaxation, from the Alexandria database.

Unit cell a=6.185 b=6.185 c=11.716 alpha=95.06 beta=95.06 gamma=119.98
Element x y z (fractional)
Pr 0.166 0.834 0.500
Pr 0.834 0.166 0.500
Pr 0.500 0.500 0.500
Dy 0.000 0.000 0.000
Tm 0.919 0.581 0.756
Tm 0.744 0.744 0.245
Tm 0.081 0.419 0.244
Tm 0.581 0.919 0.756
Tm 0.256 0.256 0.755
Tm 0.419 0.081 0.244
Th 0.333 0.667 0.000
Th 0.667 0.333 0.000

Results
Energy relative to the elements ... 0.021 eV/atom

***

5.
The following is a PBE calculation of LuScBi after structural relaxation, from the Alexandria database.

Unit cell a=3.672 b=5.064 c=5.064 alpha=120.00 beta=90.00 gamma=90.00
Element x y z (fractional)
Sc 0.578 0.333 0.667
Lu 0.041 0.000 0.000
Bi 0.381 0.667 0.333

Results
Energy relative to the elements ... -0.220 eV/atom

***

6.
The following is a PBE calculation of Hg3Au after structural relaxation, from the Alexandria database.

Unit cell a=3.054 b=3.054 c=11.625 alpha=90.00 beta=90.00 gamma=120.00
Element x y z (fractional)
Au 0.000 0.000 0.000
Hg 0.000 0.000 0.500
Hg 0.333 0.667 0.226
Hg 0.333 0.667 0.774

Results
Energy above the most stable polymorph in this dataset ... 91 meV per atom
Energy relative to the elements ... 0.112 eV/atom

***

no.,D(E_F) (states/eV/f.u.),total DFT energy (no corrections) (eV/atom)
1,0.828,-3.52
2,7.402,-3.60
3,1.674,-6.86
4,15.277,-5.03
5,2.991,-5.13
6,1.487,-0.93